The following is a DFT calculation (GGA-PBE) of an optimized crystal structure of CeNdEuIn.

Geometry as POSCAR:
```
CeNdEuIn
1.0
0.0000 3.9435 3.9435
3.9435 0.0000 3.9435
3.9435 3.9435 0.0000
Ce Nd Eu In
1 1 1 1
Cartesian
0.0000 0.0000 0.0000
1.9717 1.9717 1.9717
5.9152 5.9152 5.9152
3.9435 3.9435 3.9435
```

The following is a DFT calculation (GGA-PBE) of an optimized crystal structure of CePmEuIn.

Geometry as POSCAR:
```
CePmEuIn
1.0
0.0000 3.9616 3.9616
3.9616 0.0000 3.9616
3.9616 3.9616 0.0000
Ce Pm Eu In
1 1 1 1
Cartesian
0.0000 0.0000 0.0000
5.9425 5.9425 5.9425
3.9616 3.9616 3.9616
1.9808 1.9808 1.9808
```

The following is a DFT calculation (GGA-PBE) of an optimized crystal structure of CePrEuIn.

Geometry as POSCAR:
```
CePrEuIn
1.0
0.0000 3.9548 3.9548
3.9548 0.0000 3.9548
3.9548 3.9548 0.0000
Ce Pr Eu In
1 1 1 1
Cartesian
0.0000 0.0000 0.0000
1.9774 1.9774 1.9774
5.9322 5.9322 5.9322
3.9548 3.9548 3.9548
```

The following is a DFT calculation (GGA-PBE) of an optimized crystal structure of CeEuPuIn.

Geometry as POSCAR:
```
CeEuPuIn
1.0
0.0000 3.8803 3.8803
3.8803 0.0000 3.8803
3.8803 3.8803 0.0000
Ce Eu Pu In
1 1 1 1
Cartesian
0.0000 0.0000 0.0000
3.8803 3.8803 3.8803
1.9401 1.9401 1.9401
5.8204 5.8204 5.8204
```

The following is a DFT calculation (GGA-PBE) of an optimized crystal structure of TbCeEuIn.

Geometry as POSCAR:
```
TbCeEuIn
1.0
0.0000 3.9058 3.9058
3.9058 0.0000 3.9058
3.9058 3.9058 0.0000
Tb Ce Eu In
1 1 1 1
Cartesian
0.0000 0.0000 0.0000
5.8587 5.8587 5.8587
3.9058 3.9058 3.9058
1.9529 1.9529 1.9529
```

The following is a DFT calculation (GGA-PBE) of an optimized crystal structure of CeEuTmIn.

Geometry as POSCAR:
```
CeEuTmIn
1.0
0.0000 3.8850 3.8850
3.8850 0.0000 3.8850
3.8850 3.8850 0.0000
Ce Eu Tm In
1 1 1 1
Cartesian
0.0000 0.0000 0.0000
1.9425 1.9425 1.9425
5.8276 5.8276 5.8276
3.8850 3.8850 3.8850
```

no.,total energy (eV/f.u.),formation energy (kJ/mol of formula units)
1,-23.9,-21
2,-23.9,-17
3,-23.9,-21
4,-33.4,-16
5,-23.8,-18
6,-23.6,-13